Entry w
This record from Alexandria via LeMat-Bulk describes a geometry-optimized EuUAs2 structure. The functional is PBE.

Summary:
DOS at the Fermi energy = 19.04 states/eV/f.u.
Total moment = 1.211 μB/atom

a = 4.1551 Å, b = 4.1551 Å, c = 21.0013 Å
α = 90.00°, β = 90.00°, γ = 120.00°
Closest atoms and distances in Å follow each position.
Space group R-3m (No. 166, hexagonal axes)
Unique sites:
Eu 0.0000 0.0000 0.0000 x3  6 As 3.06
U 0.0000 0.0000 0.5000 x3  6 As 2.89
As 0.0000 0.0000 0.2431 x6  3 U 2.89, 3 Eu 3.06

---

Entry x
This record from Alexandria via LeMat-Bulk describes a geometry-optimized EuUAs2 structure. The functional is PBE.

Summary:
DOS at the Fermi energy = 4.97 states/eV/f.u.
Total moment = 2.239 μB/atom

a = 3.5686 Å, b = 3.5686 Å, c = 7.2845 Å
α = 90.00°, β = 90.00°, γ = 90.00°
Closest atoms and distances in Å follow each position.
Space group P4/mmm (No. 123)
Unique sites:
Eu 0.0000 0.0000 0.0000 x1  8 As 3.20, 4 Eu 3.57
U 0.0000 0.0000 0.5000 x1  8 As 3.03
As 0.5000 0.5000 0.2708 x2  4 U 3.03, 4 Eu 3.20, 1 As 3.34

---

Least stable of them? entry x.

---

Entry w
This record from Alexandria via LeMat-Bulk describes a geometry-optimized EuVAs2 structure. The functional is PBE.

Summary:
DOS at the Fermi energy = 3.24 states/eV/f.u.
Total moment = 1.619 μB/atom

a = 3.2375 Å, b = 3.2375 Å, c = 7.2511 Å
α = 90.00°, β = 90.00°, γ = 90.00°
Closest atoms and distances in Å follow each position.
Space group P4/mmm (No. 123)
Unique sites:
Eu 0.0000 0.0000 0.0000 x1  8 As 3.17, 4 Eu 3.24
V 0.0000 0.0000 0.5000 x1  8 As 2.70
As 0.5000 0.5000 0.3021 x2  4 V 2.70, 1 As 2.87

---

Entry x
This record from Alexandria via LeMat-Bulk describes a geometry-optimized EuVAs2 structure. The functional is PBE.

Summary:
DOS at the Fermi energy = 4.66 states/eV/f.u.
Total moment = 2.013 μB/atom

a = 3.8963 Å, b = 3.8963 Å, c = 19.4643 Å
α = 90.00°, β = 90.00°, γ = 120.00°
Closest atoms and distances in Å follow each position.
Space group R-3m (No. 166, hexagonal axes)
Unique sites:
Eu 0.0000 0.0000 0.0000 x3  6 As 2.97
V 0.0000 0.0000 0.5000 x3  6 As 2.60
As 0.0000 0.0000 0.2333 x6  3 V 2.60

---

Least stable of them? entry w.

---

Entry w
This record from Alexandria via LeMat-Bulk describes a geometry-optimized Eu2ZnAs structure. The functional is PBE.

Summary:
DOS at the Fermi energy = 3.08 states/eV/f.u.
Total moment = 3.695 μB/atom

a = 7.4405 Å, b = 7.4405 Å, c = 7.4405 Å
α = 90.00°, β = 90.00°, γ = 90.00°
Closest atoms and distances in Å follow each position.
Space group Fm-3m (No. 225)
Unique sites:
Eu 0.2500 0.2500 0.2500 x8  4 As 3.22, 4 Zn 3.22
Zn 0.0000 0.0000 0.0000 x4  8 Eu 3.22
As 0.0000 0.0000 0.5000 x4  8 Eu 3.22

---

Entry x
This record from Alexandria via LeMat-Bulk describes a geometry-optimized Eu2ZnAs structure. The functional is PBE.

Summary:
DOS at the Fermi energy = 6.25 states/eV/f.u.
Total moment = 3.534 μB/atom

a = 5.0672 Å, b = 5.0672 Å, c = 4.0032 Å
α = 90.00°, β = 90.00°, γ = 90.00°
Closest atoms and distances in Å follow each position.
Space group P4/mmm (No. 123)
Unique sites:
Eu 0.0000 0.5000 0.0000 x2  4 As 3.23, 4 Zn 3.23, 4 Eu 3.58
Zn 0.0000 0.0000 0.5000 x1  8 Eu 3.23, 4 As 3.58
As 0.5000 0.5000 0.5000 x1  8 Eu 3.23, 4 Zn 3.58

---

Least stable of them? entry w.

---

Entry w
This record from Alexandria via LeMat-Bulk describes a geometry-optimized AsF structure. The functional is PBE.

Summary:
Total moment = 0.000 μB/atom

a = 10.6219 Å, b = 10.6219 Å, c = 3.6008 Å
α = 90.00°, β = 90.00°, γ = 120.00°
Closest atoms and distances in Å follow each position.
Space group P6_3/m (No. 176)
Unique sites:
As 0.0108 0.4211 0.2500 x6  1 F 1.82
F 0.1837 0.7070 0.7500 x6  1 As 1.82

---

Entry x
This record from Alexandria via LeMat-Bulk describes a geometry-optimized AsF structure. The functional is PBE.

Summary:
DOS at the Fermi energy = 0.54 states/eV/f.u.
Total moment = 0.000 μB/atom

a = 5.3951 Å, b = 5.3951 Å, c = 5.3951 Å
α = 90.00°, β = 90.00°, γ = 90.00°
Closest atoms and distances in Å follow each position.
Space group F-43m (No. 216)
Unique sites:
As 0.0000 0.0000 0.0000 x4  4 F 2.34
F 0.2500 0.2500 0.2500 x4  4 As 2.34

---

Entry y
This record from Alexandria via LeMat-Bulk describes a geometry-optimized AsF structure. The functional is PBE.

Summary:
DOS at the Fermi energy = 0.61 states/eV/f.u.
Total moment = 0.000 μB/atom

a = 2.9786 Å, b = 2.9786 Å, c = 8.6557 Å
α = 90.00°, β = 90.00°, γ = 120.00°
Closest atoms and distances in Å follow each position.
Space group P6_3mc (No. 186)
Unique sites:
As 0.3333 0.6667 0.0000 x2  1 F 1.83
F 0.3333 0.6667 0.7887 x2  1 As 1.83

---

Entry z
This record from Alexandria via LeMat-Bulk describes a geometry-optimized AsF structure. The functional is PBE.

Summary:
Total moment = 0.000 μB/atom

a = 10.8734 Å, b = 10.8734 Å, c = 3.6336 Å
α = 90.00°, β = 90.00°, γ = 90.00°
Closest atoms and distances in Å follow each position.
Space group P4/mnc (No. 128)
Unique sites:
As 0.0760 0.3111 0.0000 x8  1 F 1.79
F 0.1465 0.1621 0.0000 x8  1 As 1.79

---

Least stable of them? entry x.

---

Entry w
This record from Alexandria via LeMat-Bulk describes a geometry-optimized AsF structure. The functional is PBE.

Summary:
DOS at the Fermi energy = 0.26 states/eV/f.u.
Total moment = 0.000 μB/atom

a = 9.3064 Å, b = 9.3064 Å, c = 3.6462 Å
α = 90.00°, β = 90.00°, γ = 90.00°
Closest atoms and distances in Å follow each position.
Space group I4/m (No. 87)
Unique sites:
As 0.0282 0.6605 0.0000 x8  1 F 1.86
F 0.1419 0.8252 0.0000 x8  1 As 1.86

---

Entry x
This record from Alexandria via LeMat-Bulk describes a geometry-optimized AsF structure. The functional is PBE.

Summary:
DOS at the Fermi energy = 1.53 states/eV/f.u.
Total moment = 0.000 μB/atom

a = 7.6573 Å, b = 7.6573 Å, c = 7.6573 Å
α = 90.00°, β = 90.00°, γ = 90.00°
Closest atoms and distances in Å follow each position.
Space group I-43m (No. 217)
Unique sites:
As 0.1226 0.1226 0.8774 x8  1 F 1.88
F 0.2356 0.2356 0.2356 x8  1 As 1.88

---

Entry y
This record from Alexandria via LeMat-Bulk describes a geometry-optimized AsF structure. The functional is PBE.

Summary:
Total moment = 0.000 μB/atom

a = 3.7672 Å, b = 9.2195 Å, c = 10.4416 Å
α = 90.00°, β = 90.00°, γ = 90.00°
Closest atoms and distances in Å follow each position.
Space group P2_12_12_1 (No. 19)
Unique sites:
As 0.2289 0.1849 0.0570 x4  3 As 2.53-2.55
As 0.2329 0.0318 0.4065 x4  2 F 1.82
F 0.0913 0.4576 0.2046 x4  1 As 1.82
F 0.1028 0.6082 0.9880 x4  1 As 1.82

---

Entry z
This record from Alexandria via LeMat-Bulk describes a geometry-optimized AsF structure. The functional is PBE.

Summary:
DOS at the Fermi energy = 1.06 states/eV/f.u.
Total moment = 0.000 μB/atom

a = 5.0875 Å, b = 5.0875 Å, c = 5.0875 Å
α = 90.00°, β = 90.00°, γ = 90.00°
Closest atoms and distances in Å follow each position.
Space group Fm-3m (No. 225)
Unique sites:
As 0.0000 0.0000 0.0000 x4  6 F 2.54
F 0.0000 0.0000 0.5000 x4  6 As 2.54

---

Least stable of them? entry z.